Here is a relaxed Ba2CoPdO4 crystal from the Alexandria database. Energies are from PBE with a Hubbard U.

SG ... No. 82
Spin magnetization ... 0.38 μB/atom
Total DFT energy (no corrections) ... -46.3 eV for the cell shown

Cell lengths 5.5626, 5.5626, 5.5626 Å; angles 110.99, 110.99, 106.47 degrees
Closest atoms and distances in Å follow each position.
Element x y z (fractional)
Ba (0.0000, 0.0000, 0.0000)  4 O 2.71
Ba (0.7500, 0.2500, 0.5000)  4 O 2.62
Co (0.5000, 0.5000, 0.0000)  4 O 2.01
Pd (0.2500, 0.7500, 0.5000)  4 O 2.11
O (0.1732, 0.1118, 0.6379)  1 Co 2.01, 1 Pd 2.11
O (0.4646, 0.8268, 0.9386)  1 Co 2.01, 1 Pd 2.11
O (0.4740, 0.5354, 0.3621)  1 Co 2.01, 1 Pd 2.11
O (0.8882, 0.5260, 0.0614)  1 Co 2.01, 1 Pd 2.11